1.
A relaxed Y5PuRu4 crystal, computed with GGA-PBE.

Lattice parameters (Å, degrees): 4.6791 6.7906 7.8900 99.84 107.25 90.00
Closest atoms and distances in Å follow each position.
Positions (direct):
Pu: 0.5000 0.0000 0.0000  6 Ru 2.58-2.81
Y: 0.1706 0.0352 0.3413  4 Ru 2.85-3.07
Y: 0.1663 0.5343 0.3327  5 Ru 2.90-3.23
Ru: 0.9981 0.7707 0.9963  2 Pu 2.81, 5 Y 2.88-3.07, 1 Ru 3.11
Y: 0.8294 0.9648 0.6587  4 Ru 2.85-3.07
Ru: 0.3523 0.7403 0.7047  1 Pu 2.58, 2 Y 2.85
Y: 0.8337 0.4657 0.6673  5 Ru 2.90-3.23
Y: 0.5000 0.5000 0.0000  6 Ru 2.98-2.99
Ru: 0.6477 0.2597 0.2953  1 Pu 2.58, 2 Y 2.85
Ru: 0.0019 0.2293 0.0037  2 Pu 2.81, 5 Y 2.88-3.07, 1 Ru 3.11

---

2.
A relaxed Y2PuRu3 crystal, computed with GGA-PBE.

Lattice parameters (Å, degrees): 5.7907 5.7907 8.0839 90.00 90.00 120.00
Closest atoms and distances in Å follow each position.
Positions (direct):
Ru: 0.8316 0.6631 0.7500  2 Pu 2.63, 4 Ru 2.86-2.93
Ru: 0.8316 0.1684 0.7500  2 Pu 2.63, 4 Ru 2.86-2.93
Ru: 0.1684 0.8316 0.2500  2 Pu 2.63, 4 Ru 2.86-2.93
Y: 0.6667 0.3333 0.4404  9 Ru 3.00-3.28, 1 Y 3.08
Ru: 0.1684 0.3369 0.2500  2 Pu 2.63, 4 Ru 2.86-2.93
Pu: 0.0000 0.0000 0.0000  6 Ru 2.63
Ru: 0.6631 0.8316 0.2500  2 Pu 2.63, 4 Ru 2.86-2.93
Y: 0.3333 0.6667 0.9404  9 Ru 3.00-3.28, 1 Y 3.08
Ru: 0.3369 0.1684 0.7500  2 Pu 2.63, 4 Ru 2.86-2.93
Y: 0.6667 0.3333 0.0596  9 Ru 3.00-3.28, 1 Y 3.08
Pu: 0.0000 0.0000 0.5000  6 Ru 2.63
Y: 0.3333 0.6667 0.5596  9 Ru 3.00-3.28, 1 Y 3.08

---

3.
A relaxed Y3Pu4Ru4 crystal, computed with GGA-PBE.

Lattice parameters (Å, degrees): 3.2955 10.0111 8.5038 126.06 101.17 90.00
Closest atoms and distances in Å follow each position.
Positions (direct):
Ru: 0.2085 0.7085 0.4169  4 Pu 2.76, 3 Y 2.78-2.89
Ru: 0.5000 0.2250 0.0000  2 Pu 2.59
Y: 0.1133 0.1133 0.2267  6 Ru 2.89-3.17, 1 Y 3.03
Ru: 0.5000 0.7750 0.0000  2 Pu 2.59
Pu: 0.6897 0.9096 0.3794  2 Pu 2.38, 1 Ru 2.59
Ru: 0.7915 0.2915 0.5831  4 Pu 2.76, 3 Y 2.78-2.89
Pu: 0.6897 0.4698 0.3794  2 Pu 2.38, 1 Ru 2.59
Y: 0.8867 0.8867 0.7733  6 Ru 2.89-3.17, 1 Y 3.03
Pu: 0.3103 0.0904 0.6206  2 Pu 2.38, 1 Ru 2.59
Pu: 0.3103 0.5302 0.6206  2 Pu 2.38, 1 Ru 2.59
Y: 0.0000 0.5000 0.0000  2 Ru 2.78

---

no.,energy of formation from the pure elements (eV/atom),volume (Å³ per cell)
1,-0.24,236
2,-0.35,235
3,-0.02,220